Entry A
Compound: BaLiY2Ir
Source: the Alexandria database
Functional: PBE
Structure: optimized geometry

Cell: 5.386 5.386 5.565 Å, 90.00 90.00 90.00°
Fractional positions:
Y 0.000 0.500 0.000
Y 0.500 0.000 0.000
Ir 0.000 0.000 0.000
Ba 0.500 0.500 0.500
Li 0.000 0.000 0.500

Its size of the total moment is 0.00 μB/atom.



Entry B
Compound: BaLiY2Ir
Source: the Alexandria database
Functional: PBE
Structure: optimized geometry

Cell: 5.582 4.413 5.582 Å, 90.00 90.00 90.00°
Fractional positions:
Y 0.000 0.000 0.500
Y 0.500 0.000 0.000
Ir 0.500 0.500 0.500
Ba 0.000 0.000 0.000
Li 0.000 0.500 0.000

Its size of the total moment is 0.00 μB/atom.



entry A is the most stable structure; the next one sits 1661 meV per atom above it.



Entry A
Compound: BaMg2Ir2
Source: the Alexandria database
Functional: PBE
Structure: optimized geometry

Cell: 8.138 8.138 3.038 Å, 90.00 90.00 90.00°
Fractional positions:
Mg 0.129 0.629 0.500
Mg 0.629 0.871 0.500
Mg 0.871 0.371 0.500
Mg 0.371 0.129 0.500
Ir 0.341 0.841 0.000
Ir 0.841 0.659 0.000
Ir 0.659 0.159 0.000
Ir 0.159 0.341 0.000
Ba 0.000 0.000 0.000
Ba 0.500 0.500 0.000

Its size of the total moment is 0.00 μB/atom.



Entry B
Compound: BaMg2Ir2
Source: the Alexandria database
Functional: PBE
Structure: optimized geometry

Cell: 4.528 4.528 6.394 Å, 69.26 69.26 90.00°
Fractional positions:
Mg 0.750 0.250 0.500
Mg 0.250 0.750 0.500
Ir 0.389 0.389 0.223
Ir 0.611 0.611 0.777
Ba 0.000 0.000 0.000

Its size of the total moment is 0.00 μB/atom.



entry B is the most stable structure; the next one sits 119 meV per atom above it.



Entry A
Compound: Ba3MgIr2O9
Source: the Alexandria database
Functional: PBE
Structure: optimized geometry

Cell: 5.833 5.833 14.350 Å, 90.00 90.00 120.00°
Fractional positions:
Ba 0.333 0.667 0.915
Ba 0.667 0.333 0.415
Ba 0.333 0.667 0.585
Ba 0.000 0.000 0.250
Ba 0.667 0.333 0.085
Ba 0.000 0.000 0.750
Mg 0.000 0.000 0.500
Mg 0.000 0.000 0.000
Ir 0.333 0.667 0.341
Ir 0.667 0.333 0.659
Ir 0.333 0.667 0.159
Ir 0.667 0.333 0.841
O 0.172 0.828 0.083
O 0.828 0.656 0.583
O 0.511 0.489 0.750
O 0.344 0.172 0.917
O 0.489 0.511 0.250
O 0.344 0.172 0.583
O 0.021 0.511 0.250
O 0.828 0.172 0.583
O 0.511 0.021 0.750
O 0.656 0.828 0.083
O 0.172 0.828 0.417
O 0.979 0.489 0.750
O 0.828 0.172 0.917
O 0.656 0.828 0.417
O 0.172 0.344 0.417
O 0.172 0.344 0.083
O 0.489 0.979 0.250
O 0.828 0.656 0.917

Its size of the total moment is 0.00 μB/atom.



Entry B
Compound: Ba3MgIr2O9
Source: the Alexandria database
Functional: PBE
Structure: optimized geometry

Cell: 5.776 5.776 7.080 Å, 90.00 90.00 120.00°
Last column: magnetic moment on the atom in μB.
Fractional positions:
Ba 0.333 0.667 0.662  0.01
Ba 0.000 0.000 0.000  0.01
Ba 0.667 0.333 0.338  0.01
Mg 0.000 0.000 0.500  0.00
Ir 0.333 0.667 0.167  1.00
Ir 0.667 0.333 0.833  1.00
O 0.828 0.172 0.675  0.12
O 0.828 0.655 0.675  0.12
O 0.345 0.172 0.675  0.12
O 0.655 0.828 0.325  0.12
O 0.172 0.345 0.325  0.12
O 0.172 0.828 0.325  0.12
O 0.500 0.000 0.000  0.19
O 0.000 0.500 0.000  0.19
O 0.500 0.500 0.000  0.19

Its size of the total moment is 0.25 μB/atom.



entry A is the most stable structure; the next one sits 31 meV per atom above it.



Entry A
Compound: BaSrMg2Ir
Source: the Alexandria database
Functional: PBE
Structure: optimized geometry

Cell: 5.298 5.298 5.857 Å, 90.00 90.00 90.00°
Fractional positions:
Sr 0.500 0.500 0.500
Mg 0.000 0.500 0.000
Mg 0.500 0.000 0.000
Ir 0.000 0.000 0.000
Ba 0.000 0.000 0.500

Its size of the total moment is 0.00 μB/atom.



Entry B
Compound: BaSrMg2Ir
Source: the Alexandria database
Functional: PBE
Structure: optimized geometry

Cell: 5.309 5.309 5.668 Å, 90.00 90.00 90.00°
Fractional positions:
Sr 0.000 0.000 0.500
Mg 0.000 0.500 0.000
Mg 0.500 0.000 0.000
Ir 0.000 0.000 0.000
Ba 0.500 0.500 0.500

Its size of the total moment is 0.00 μB/atom.



entry B is the most stable structure; the next one sits 83 meV per atom above it.



Entry A
Compound: Ba2MgZnIr
Source: the Alexandria database
Functional: PBE
Structure: optimized geometry

Cell: 6.101 6.101 4.927 Å, 90.00 90.00 90.00°
Fractional positions:
Mg 0.500 0.500 0.500
Zn 0.000 0.000 0.500
Ir 0.000 0.000 0.000
Ba 0.000 0.500 0.000
Ba 0.500 0.000 0.000

Its size of the total moment is 0.00 μB/atom.



Entry B
Compound: Ba2MgZnIr
Source: the Alexandria database
Functional: PBE
Structure: optimized geometry

Cell: 6.077 6.077 5.077 Å, 90.00 90.00 90.00°
Fractional positions:
Mg 0.000 0.000 0.500
Zn 0.500 0.500 0.500
Ir 0.000 0.000 0.000
Ba 0.000 0.500 0.000
Ba 0.500 0.000 0.000

Its size of the total moment is 0.00 μB/atom.



entry B is the most stable structure; the next one sits 7 meV per atom above it.



Entry A
Compound: BaMn3Ir
Source: the Alexandria database
Functional: PBE
Structure: optimized geometry

Cell: 4.886 4.886 4.886 Å, 90.00 90.00 90.00°
Last column: magnetic moment on the atom in μB.
Fractional positions:
Ir 0.500 0.500 0.500  0.44
Ba 0.000 0.000 0.000  -0.26
Mn 0.000 0.500 0.000  3.51
Mn 0.000 0.000 0.500  3.07
Mn 0.500 0.000 0.000  3.85

Its size of the total moment is 2.19 μB/atom.



Entry B
Compound: BaMn3Ir
Source: the Alexandria database
Functional: PBE
Structure: optimized geometry

Cell: 4.999 4.999 4.999 Å, 90.00 90.00 90.00°
Last column: magnetic moment on the atom in μB.
Fractional positions:
Ir 0.000 0.000 0.000  0.40
Ba 0.500 0.500 0.500  -0.06
Mn 0.000 0.500 0.000  4.04
Mn 0.000 0.000 0.500  4.02
Mn 0.500 0.000 0.000  3.93

Its size of the total moment is 2.59 μB/atom.



entry B is the most stable structure; the next one sits 2007 meV per atom above it.